This record from the Alexandria database describes Fe4Ni12W after structural relaxation. The functional is PBE.

The structure belongs to space group Im-3m (No. 229); the cell edges are 7.4440, 7.4440 and 7.4440 Å and the angles 90.00°, 90.00° and 90.00°. Symmetry generates all atoms from Fe at (0.2500, 0.2500, 0.2500), Ni at (0.0000, 0.0000, 0.3072), Ni at (0.0000, 0.2500, 0.5000) and W at (0.0000, 0.0000, 0.0000).

The raw total energy is -225.30 eV for the cell shown. The value obtained for the formation enthalpy at 0 K is 3.5 eV/f.u. Its density of states at the Fermi level is 14.4 states/eV/f.u. The value obtained for the total moment is 16.33 μB per formula unit.


This record from the Alexandria database describes KFe2TcW after structural relaxation. The functional is PBE.

The structure belongs to space group P4/mmm (No. 123); the cell edges are 4.5166, 4.5166 and 4.8091 Å and the angles 90.00°, 90.00° and 90.00°. Symmetry generates all atoms from K at (0.0000, 0.0000, 0.0000), Fe at (0.0000, 0.5000, 0.5000), Tc at (0.0000, 0.0000, 0.5000) and W at (0.5000, 0.5000, 0.0000).

The raw total energy is -28.70 eV for the cell shown. The value obtained for the formation enthalpy at 0 K is 12.6 eV/f.u. Its density of states at the Fermi level is 9.6 states/eV/f.u. The value obtained for the total moment is 2.86 μB per formula unit.


This record from the Alexandria database describes In2WSe after structural relaxation. The functional is PBE.

The structure belongs to space group R-3m (No. 166, hexagonal axes); the cell edges are 3.0940, 3.0940 and 29.5311 Å and the angles 90.00°, 90.00° and 120.00°. Symmetry generates all atoms from In at (0.0000, 0.0000, 0.2458), W at (0.0000, 0.0000, 0.5000) and Se at (0.0000, 0.0000, 0.0000).

The raw total energy is -59.05 eV for the cell shown. Its density of states at the Fermi level is 2.3 states/eV/f.u. The value obtained for the total moment is 0.00 μB per formula unit. The energy relative to the elements, uncorrected comes out at 0.558 eV per atom.


This record from the Alexandria database describes Hf5Ti5In after structural relaxation. The functional is PBE.

The structure belongs to space group P-6m2 (No. 187); the cell edges are 5.2009, 5.2009 and 9.5392 Å and the angles 90.00°, 90.00° and 120.00°. Symmetry generates all atoms from Hf at (0.0000, 0.0000, 0.0000), Hf at (0.3333, 0.6667, 0.3200), Hf at (0.6667, 0.3333, 0.1748), Ti at (0.0000, 0.0000, 0.2712), Ti at (0.3375, 0.1688, 0.5000) and In at (0.3333, 0.6667, 0.0000).

The raw total energy is -89.58 eV for the cell shown. The value obtained for the formation enthalpy at 0 K is 2.4 eV/f.u. Its density of states at the Fermi level is 16.5 states/eV/f.u. The value obtained for the total moment is 1.46 μB per formula unit.


This record from the Alexandria database describes Ca2LaGa6 after structural relaxation. The functional is PBE.

The structure belongs to space group P6/mmm (No. 191); the cell edges are 7.4664, 7.4664 and 4.3944 Å and the angles 90.00°, 90.00° and 120.00°. Symmetry generates all atoms from Ca at (0.3333, 0.6667, 0.0000), La at (0.0000, 0.0000, 0.0000) and Ga at (0.0000, 0.3340, 0.5000).

The raw total energy is -32.07 eV for the cell shown. The value obtained for the formation enthalpy at 0 K is -5.0 eV/f.u. Its density of states at the Fermi level is 5.6 states/eV/f.u. The value obtained for the total moment is 0.00 μB per formula unit.